Record 1
! ThB4As PBE relaxed; values from VASP
! V   12.20 Å³ per atom
! Raw total energy   -6.52 eV/atom
! Symmetry   No. 71
! Size of the total moment   0.00 μB/f.u.
! Polymorph energy (0 for the lowest one)   0.000 eV per atom
&SYSTEM
  ibrav = 0, nat = 6, ntyp = 3
/
ATOMIC_SPECIES
As 74.92 As.upf
B 10.81 B.upf
Th 232.04 Th.upf
CELL_PARAMETERS angstrom
-1.618 2.511 4.505
1.618 -2.511 4.505
1.618 2.511 -4.505
ATOMIC_POSITIONS angstrom
As 0.000 0.000 0.000
B 0.000 1.575 2.077
B 1.618 -0.936 2.428
B 0.000 3.448 2.077
B 1.618 0.936 2.428
Th 0.000 0.000 4.505


Record 2
! TmB4As PBE relaxed; values from VASP
! V   11.00 Å³ per atom
! Raw total energy   -6.04 eV/atom
! Symmetry   No. 71
! Size of the total moment   0.00 μB/f.u.
! Polymorph energy (0 for the lowest one)   0.000 eV per atom
&SYSTEM
  ibrav = 0, nat = 6, ntyp = 3
/
ATOMIC_SPECIES
As 74.92 As.upf
B 10.81 B.upf
Tm 168.93 Tm.upf
CELL_PARAMETERS angstrom
-1.577 2.478 4.222
1.577 -2.478 4.222
1.577 2.478 -4.222
ATOMIC_POSITIONS angstrom
As 0.000 0.000 0.000
B 0.000 1.558 1.919
B 1.577 -0.921 2.303
B 0.000 3.399 1.919
B 1.577 0.921 2.303
Tm 0.000 0.000 4.222


Record 3
! TmB4As PBE relaxed; values from VASP
! V   10.87 Å³ per atom
! Raw total energy   -5.93 eV/atom
! Symmetry   No. 191
! Size of the total moment   0.00 μB/f.u.
! Polymorph energy (0 for the lowest one)   0.109 eV per atom
&SYSTEM
  ibrav = 0, nat = 6, ntyp = 3
/
ATOMIC_SPECIES
As 74.92 As.upf
B 10.81 B.upf
Tm 168.93 Tm.upf
CELL_PARAMETERS angstrom
-1.006 2.753 1.189
-1.930 -2.506 -0.039
2.494 -2.027 6.803
ATOMIC_POSITIONS angstrom
As 0.000 0.000 0.000
B -0.693 0.495 2.475
B -1.001 -1.258 2.065
B 0.558 -0.522 5.888
B 0.250 -2.275 5.479
Tm 1.247 -1.013 3.402


Record 4
! BAsW2 PBE relaxed; values from VASP
! V   13.99 Å³ per atom
! Raw total energy   -9.38 eV/atom
! Symmetry   No. 194
! Size of the total moment   0.00 μB/f.u.
&SYSTEM
  ibrav = 0, nat = 8, ntyp = 3
/
ATOMIC_SPECIES
As 74.92 As.upf
B 10.81 B.upf
W 183.84 W.upf
CELL_PARAMETERS angstrom
-0.878 3.095 0.711
-2.309 -2.268 -0.615
-0.368 -2.764 11.573
ATOMIC_POSITIONS angstrom
As -1.447 0.616 3.162
As -2.108 -2.553 8.507
B 0.000 0.000 0.000
B -0.184 -1.382 5.786
W -1.867 -0.738 0.907
W -1.982 -1.604 4.533
W -1.574 -0.333 7.136
W -1.689 -1.198 10.762


Record 5
! BAsW PBE relaxed; values from VASP
! V   13.75 Å³ per atom
! Raw total energy   -7.14 eV/atom
! Symmetry   No. 216
! Size of the total moment   0.00 μB/f.u.
! Polymorph energy (0 for the lowest one)   0.000 eV per atom
&SYSTEM
  ibrav = 0, nat = 3, ntyp = 3
/
ATOMIC_SPECIES
As 74.92 As.upf
B 10.81 B.upf
W 183.84 W.upf
CELL_PARAMETERS angstrom
3.074 -1.714 -1.629
0.097 -3.859 -0.374
-0.315 -1.616 -3.511
ATOMIC_POSITIONS angstrom
As 0.714 -1.797 -1.378
B 0.000 0.000 0.000
W 2.142 -5.391 -4.135


Record 6
! B2AsW3 PBE relaxed; values from VASP
! V   12.93 Å³ per atom
! Raw total energy   -9.55 eV/atom
! Symmetry   No. 194
! Size of the total moment   0.00 μB/f.u.
&SYSTEM
  ibrav = 0, nat = 12, ntyp = 3
/
ATOMIC_SPECIES
As 74.92 As.upf
B 10.81 B.upf
W 183.84 W.upf
CELL_PARAMETERS angstrom
-2.451 -1.216 1.665
2.951 -0.028 1.244
-2.882 15.657 7.196
ATOMIC_POSITIONS angstrom
As -0.721 3.914 1.799
As -2.162 11.743 5.397
B 0.937 0.737 1.918
B -0.077 6.243 4.448
B -2.305 8.169 5.656
B -3.319 13.676 8.187
W 0.000 0.000 0.000
W -1.058 1.394 2.542
W -1.684 4.794 4.105
W -1.441 7.829 3.598
W -0.698 9.618 6.000
W -1.324 13.019 7.562


Record 7
! B4AsW PBE relaxed; values from VASP
! V   9.42 Å³ per atom
! Raw total energy   -6.99 eV/atom
! Symmetry   No. 71
! Size of the total moment   0.01 μB/f.u.
! Polymorph energy (0 for the lowest one)   0.178 eV per atom
&SYSTEM
  ibrav = 0, nat = 6, ntyp = 3
/
ATOMIC_SPECIES
As 74.92 As.upf
B 10.81 B.upf
W 183.84 W.upf
CELL_PARAMETERS angstrom
-1.502 2.665 3.530
1.502 -2.665 3.530
1.502 2.665 -3.530
ATOMIC_POSITIONS angstrom
As 0.000 0.000 3.530
B 0.000 1.788 1.760
B 1.502 -0.877 1.771
B 0.000 3.543 1.760
B 1.502 0.877 1.771
W 0.000 0.000 0.000


Record 8
! B4AsW PBE relaxed; values from VASP
! V   10.75 Å³ per atom
! Raw total energy   -7.17 eV/atom
! Symmetry   No. 191
! Size of the total moment   0.00 μB/f.u.
! Polymorph energy (0 for the lowest one)   0.000 eV per atom
&SYSTEM
  ibrav = 0, nat = 6, ntyp = 3
/
ATOMIC_SPECIES
As 74.92 As.upf
B 10.81 B.upf
W 183.84 W.upf
CELL_PARAMETERS angstrom
-2.029 1.766 1.218
-0.124 -0.623 -2.884
-4.902 -6.790 1.677
ATOMIC_POSITIONS angstrom
As 0.000 0.000 0.000
B -2.887 -1.098 0.361
B -2.252 -1.894 -1.006
B -4.803 -3.753 1.017
B -4.168 -4.549 -0.350
W -2.451 -3.395 0.839